Entry from OQMD via LeMat-Bulk: crystalline Tl3CdCl6 at its relaxed geometry (PBE).

```
data_Tl3CdCl6
_chemical_formula_sum 'Tl12 Cd4 Cl24'
_cell_length_a 10.711
_cell_length_b 10.711
_cell_length_c 10.711
_cell_angle_alpha 90.00
_cell_angle_beta 90.00
_cell_angle_gamma 90.00
_symmetry_space_group_name_H-M 'F m -3 m'
_symmetry_Int_Tables_number 225
_symmetry_space_group_name_Hall '-F 4 2 3'
loop_
_atom_site_label
_atom_site_type_symbol
_atom_site_fract_x
_atom_site_fract_y
_atom_site_fract_z
Tl1 Tl 0.000 0.000 0.000
Tl2 Tl 0.250 0.250 0.250
Cd1 Cd 0.000 0.000 0.500
Cl1 Cl 0.000 0.000 0.257
```

DFT total energy = -2.817 eV/atom

=====

Entry from OQMD via LeMat-Bulk: crystalline Zn2CdCl4 at its relaxed geometry (PBE).

```
data_Zn2CdCl4
_chemical_formula_sum 'Zn2 Cd1 Cl4'
_cell_length_a 5.748
_cell_length_b 5.748
_cell_length_c 5.447
_cell_angle_alpha 90.00
_cell_angle_beta 90.00
_cell_angle_gamma 90.00
_symmetry_space_group_name_H-M 'P -4 2 m'
_symmetry_Int_Tables_number 111
loop_
_symmetry_equiv_pos_as_xyz
'x,y,z'
'y,-x,-z'
'-x,-y,z'
'-y,x,-z'
'x,-y,-z'
'y,x,z'
'-x,y,-z'
'-y,-x,z'
loop_
_atom_site_label
_atom_site_type_symbol
_atom_site_fract_x
_atom_site_fract_y
_atom_site_fract_z
Zn1 Zn 0.000 0.500 0.000
Cd1 Cd 0.000 0.000 0.000
Cl1 Cl 0.298 0.298 0.264
```

DFT total energy = -2.052 eV/atom

=====

Entry from OQMD via LeMat-Bulk: crystalline CdCo9 at its relaxed geometry (PBE).

```
data_CdCo9
_chemical_formula_sum 'Cd2 Co18'
_cell_length_a 2.521
_cell_length_b 2.521
_cell_length_c 47.022
_cell_angle_alpha 90.00
_cell_angle_beta 90.00
_cell_angle_gamma 90.00
_symmetry_space_group_name_H-M 'P 4/n m m'
_symmetry_Int_Tables_number 129
loop_
_symmetry_equiv_pos_as_xyz
'x,y,z'
'-x,-y,-z'
'-y+1/2,x,z'
'y+1/2,-x,-z'
'-x+1/2,-y+1/2,z'
'x+1/2,y+1/2,-z'
'y,-x+1/2,z'
'-y,x+1/2,-z'
'x+1/2,-y,-z'
'-x+1/2,y,z'
'-y,-x,-z'
'y,x,z'
'-x,y+1/2,-z'
'x,-y+1/2,z'
'y+1/2,x+1/2,-z'
'-y+1/2,-x+1/2,z'
loop_
_atom_site_label
_atom_site_type_symbol
_atom_site_fract_x
_atom_site_fract_y
_atom_site_fract_z
Cd1 Cd 0.250 0.250 0.146
Co1 Co 0.250 0.250 0.229
Co2 Co 0.250 0.250 0.302
Co3 Co 0.250 0.250 0.374
Co4 Co 0.250 0.250 0.446
Co5 Co 0.250 0.250 0.517
Co6 Co 0.250 0.250 0.589
Co7 Co 0.250 0.250 0.661
Co8 Co 0.250 0.250 0.734
Co9 Co 0.250 0.250 0.806
```

Formation enthalpy at 0 K = 0.18 eV per atom

=====

Entry from OQMD via LeMat-Bulk: crystalline CdCo7 at its relaxed geometry (PBE).

```
data_CdCo7
_chemical_formula_sum 'Cd2 Co14'
_cell_length_a 2.565
_cell_length_b 2.565
_cell_length_c 39.160
_cell_angle_alpha 90.00
_cell_angle_beta 90.00
_cell_angle_gamma 90.00
_symmetry_space_group_name_H-M 'P 4/n m m'
_symmetry_Int_Tables_number 129
loop_
_symmetry_equiv_pos_as_xyz
'x,y,z'
'-x,-y,-z'
'-y+1/2,x,z'
'y+1/2,-x,-z'
'-x+1/2,-y+1/2,z'
'x+1/2,y+1/2,-z'
'y,-x+1/2,z'
'-y,x+1/2,-z'
'x+1/2,-y,-z'
'-x+1/2,y,z'
'-y,-x,-z'
'y,x,z'
'-x,y+1/2,-z'
'x,-y+1/2,z'
'y+1/2,x+1/2,-z'
'-y+1/2,-x+1/2,z'
loop_
_atom_site_label
_atom_site_type_symbol
_atom_site_fract_x
_atom_site_fract_y
_atom_site_fract_z
Cd1 Cd 0.250 0.250 0.169
Co1 Co 0.250 0.250 0.266
Co2 Co 0.250 0.250 0.352
Co3 Co 0.250 0.250 0.436
Co4 Co 0.250 0.250 0.521
Co5 Co 0.250 0.250 0.606
Co6 Co 0.250 0.250 0.691
Co7 Co 0.250 0.250 0.775
```

Formation enthalpy at 0 K = 0.14 eV per atom
Polymorph energy (0 for the lowest one) = 11 meV/atom

=====

Entry from OQMD via LeMat-Bulk: crystalline CdCo15 at its relaxed geometry (PBE).

```
data_CdCo15
_chemical_formula_sum 'Cd2 Co30'
_cell_length_a 3.525
_cell_length_b 3.525
_cell_length_c 40.959
_cell_angle_alpha 90.00
_cell_angle_beta 90.00
_cell_angle_gamma 90.00
_symmetry_space_group_name_H-M 'P m m 2'
_symmetry_Int_Tables_number 25
loop_
_symmetry_equiv_pos_as_xyz
'x,y,z'
'-x,-y,z'
'-x,y,z'
'x,-y,z'
loop_
_atom_site_label
_atom_site_type_symbol
_atom_site_fract_x
_atom_site_fract_y
_atom_site_fract_z
Cd1 Cd 0.000 0.000 0.000
Cd2 Cd 0.000 0.500 0.327
Co1 Co 0.000 0.000 0.389
Co2 Co 0.000 0.000 0.474
Co3 Co 0.000 0.000 0.558
Co4 Co 0.000 0.000 0.643
Co5 Co 0.000 0.000 0.727
Co6 Co 0.000 0.000 0.812
Co7 Co 0.000 0.000 0.897
Co8 Co 0.000 0.500 0.430
Co9 Co 0.000 0.500 0.516
Co10 Co 0.000 0.500 0.600
Co11 Co 0.000 0.500 0.685
Co12 Co 0.000 0.500 0.770
Co13 Co 0.000 0.500 0.854
Co14 Co 0.000 0.500 0.939
Co15 Co 0.500 0.000 0.351
Co16 Co 0.500 0.000 0.432
Co17 Co 0.500 0.000 0.516
Co18 Co 0.500 0.000 0.601
Co19 Co 0.500 0.000 0.685
Co20 Co 0.500 0.000 0.770
Co21 Co 0.500 0.000 0.854
Co22 Co 0.500 0.000 0.939
Co23 Co 0.500 0.500 0.389
Co24 Co 0.500 0.500 0.474
Co25 Co 0.500 0.500 0.558
Co26 Co 0.500 0.500 0.643
Co27 Co 0.500 0.500 0.727
Co28 Co 0.500 0.500 0.812
Co29 Co 0.500 0.500 0.896
Co30 Co 0.500 0.500 0.977
```

Formation enthalpy at 0 K = 0.11 eV per atom
Polymorph energy (0 for the lowest one) = 0 meV/atom

=====

Entry from OQMD via LeMat-Bulk: crystalline CdCo15 at its relaxed geometry (PBE).

```
data_CdCo15
_chemical_formula_sum 'Cd2 Co30'
_cell_length_a 4.980
_cell_length_b 3.475
_cell_length_c 33.670
_cell_angle_alpha 90.00
_cell_angle_beta 90.00
_cell_angle_gamma 90.00
_symmetry_space_group_name_H-M 'P 1 21/m 1'
_symmetry_Int_Tables_number 11
loop_
_symmetry_equiv_pos_as_xyz
'x,y,z'
'-x,-y,-z'
'-x,y+1/2,-z'
'x,-y+1/2,z'
loop_
_atom_site_label
_atom_site_type_symbol
_atom_site_fract_x
_atom_site_fract_y
_atom_site_fract_z
Cd1 Cd 0.125 0.250 0.293
Co1 Co 0.123 0.250 0.761
Co2 Co 0.124 0.250 0.834
Co3 Co 0.125 0.250 0.055
Co4 Co 0.125 0.250 0.129
Co5 Co 0.125 0.250 0.202
Co6 Co 0.125 0.250 0.908
Co7 Co 0.125 0.250 0.982
Co8 Co 0.373 0.750 0.239
Co9 Co 0.374 0.750 0.166
Co10 Co 0.375 0.750 0.018
Co11 Co 0.375 0.750 0.092
Co12 Co 0.375 0.750 0.729
Co13 Co 0.375 0.750 0.798
Co14 Co 0.375 0.750 0.871
Co15 Co 0.375 0.750 0.945
```

Formation enthalpy at 0 K = 0.15 eV per atom
Polymorph energy (0 for the lowest one) = 44 meV/atom

=====

Entry from OQMD via LeMat-Bulk: crystalline CdCo7 at its relaxed geometry (PBE).

```
data_CdCo7
_chemical_formula_sum 'Cd2 Co14'
_cell_length_a 2.573
_cell_length_b 3.390
_cell_length_c 34.021
_cell_angle_alpha 90.00
_cell_angle_beta 90.00
_cell_angle_gamma 90.00
_symmetry_space_group_name_H-M 'P m m 2'
_symmetry_Int_Tables_number 25
loop_
_symmetry_equiv_pos_as_xyz
'x,y,z'
'-x,-y,z'
'-x,y,z'
'x,-y,z'
loop_
_atom_site_label
_atom_site_type_symbol
_atom_site_fract_x
_atom_site_fract_y
_atom_site_fract_z
Cd1 Cd 0.000 0.000 0.000
Cd2 Cd 0.500 0.500 0.425
Co1 Co 0.000 0.000 0.477
Co2 Co 0.000 0.000 0.548
Co3 Co 0.000 0.000 0.621
Co4 Co 0.000 0.000 0.694
Co5 Co 0.000 0.000 0.768
Co6 Co 0.000 0.000 0.841
Co7 Co 0.000 0.000 0.914
Co8 Co 0.500 0.500 0.511
Co9 Co 0.500 0.500 0.584
Co10 Co 0.500 0.500 0.658
Co11 Co 0.500 0.500 0.731
Co12 Co 0.500 0.500 0.804
Co13 Co 0.500 0.500 0.877
Co14 Co 0.500 0.500 0.949
```

Formation enthalpy at 0 K = 0.13 eV per atom
Polymorph energy (0 for the lowest one) = 0 meV/atom

=====

Entry from OQMD via LeMat-Bulk: crystalline CdCo15 at its relaxed geometry (PBE).

```
data_CdCo15
_chemical_formula_sum 'Cd2 Co30'
_cell_length_a 6.915
_cell_length_b 2.515
_cell_length_c 33.659
_cell_angle_alpha 90.00
_cell_angle_beta 90.00
_cell_angle_gamma 90.00
_symmetry_space_group_name_H-M 'P 1 21/m 1'
_symmetry_Int_Tables_number 11
loop_
_symmetry_equiv_pos_as_xyz
'x,y,z'
'-x,-y,-z'
'-x,y+1/2,-z'
'x,-y+1/2,z'
loop_
_atom_site_label
_atom_site_type_symbol
_atom_site_fract_x
_atom_site_fract_y
_atom_site_fract_z
Cd1 Cd 0.125 0.250 0.210
Co1 Co 0.123 0.250 0.666
Co2 Co 0.125 0.250 0.297
Co3 Co 0.125 0.250 0.371
Co4 Co 0.125 0.250 0.445
Co5 Co 0.125 0.250 0.518
Co6 Co 0.125 0.250 0.592
Co7 Co 0.132 0.250 0.739
Co8 Co 0.373 0.750 0.334
Co9 Co 0.375 0.750 0.408
Co10 Co 0.375 0.750 0.482
Co11 Co 0.375 0.750 0.555
Co12 Co 0.375 0.750 0.629
Co13 Co 0.375 0.750 0.703
Co14 Co 0.375 0.750 0.774
Co15 Co 0.382 0.750 0.261
```

Formation enthalpy at 0 K = 0.16 eV per atom
Polymorph energy (0 for the lowest one) = 51 meV/atom

=====

Entry from OQMD via LeMat-Bulk: crystalline CdCo15 at its relaxed geometry (PBE).

```
data_CdCo15
_chemical_formula_sum 'Cd2 Co30'
_cell_length_a 4.278
_cell_length_b 33.652
_cell_length_c 4.278
_cell_angle_alpha 90.00
_cell_angle_beta 108.59
_cell_angle_gamma 90.00
_symmetry_space_group_name_H-M 'P 1 2/c 1'
_symmetry_Int_Tables_number 13
loop_
_symmetry_equiv_pos_as_xyz
'x,y,z'
'-x,-y,-z'
'-x,y,-z+1/2'
'x,-y,z+1/2'
loop_
_atom_site_label
_atom_site_type_symbol
_atom_site_fract_x
_atom_site_fract_y
_atom_site_fract_z
Cd1 Cd 0.000 0.207 0.250
Co1 Co 0.000 0.260 0.750
Co2 Co 0.000 0.296 0.250
Co3 Co 0.000 0.334 0.750
Co4 Co 0.000 0.370 0.250
Co5 Co 0.000 0.408 0.750
Co6 Co 0.000 0.445 0.250
Co7 Co 0.000 0.482 0.750
Co8 Co 0.500 0.229 0.750
Co9 Co 0.500 0.260 0.250
Co10 Co 0.500 0.299 0.750
Co11 Co 0.500 0.334 0.250
Co12 Co 0.500 0.372 0.750
Co13 Co 0.500 0.408 0.250
Co14 Co 0.500 0.445 0.750
Co15 Co 0.500 0.482 0.250
```

Formation enthalpy at 0 K = 0.14 eV per atom
Polymorph energy (0 for the lowest one) = 36 meV/atom

=====

Entry from OQMD via LeMat-Bulk: crystalline CdCo8 at its relaxed geometry (PBE).

```
data_CdCo8
_chemical_formula_sum 'Cd4 Co32'
_cell_length_a 7.833
_cell_length_b 3.470
_cell_length_c 28.516
_cell_angle_alpha 90.00
_cell_angle_beta 90.04
_cell_angle_gamma 90.00
_symmetry_space_group_name_H-M 'C 1 2/m 1'
_symmetry_Int_Tables_number 12
loop_
_symmetry_equiv_pos_as_xyz
'x,y,z'
'-x,-y,-z'
'-x,y,-z'
'x,-y,z'
'x+1/2,y+1/2,z'
'-x+1/2,-y+1/2,-z'
'-x+1/2,y+1/2,-z'
'x+1/2,-y+1/2,z'
loop_
_atom_site_label
_atom_site_type_symbol
_atom_site_fract_x
_atom_site_fract_y
_atom_site_fract_z
Cd1 Cd 0.051 0.000 0.250
Co1 Co 0.049 0.500 0.404
Co2 Co 0.050 0.500 0.680
Co3 Co 0.051 0.000 0.541
Co4 Co 0.148 0.000 0.623
Co5 Co 0.150 0.000 0.349
Co6 Co 0.150 0.500 0.486
Co7 Co 0.249 0.000 0.431
Co8 Co 0.249 0.500 0.297
```

Formation enthalpy at 0 K = 0.17 eV per atom

=====

Entry from OQMD via LeMat-Bulk: crystalline CdCo17 at its relaxed geometry (PBE).

```
data_CdCo17
_chemical_formula_sum 'Cd2 Co34'
_cell_length_a 4.9396
_cell_length_b 4.9396
_cell_length_c 31.2889
_cell_angle_alpha 90.00
_cell_angle_beta 90.00
_cell_angle_gamma 120.00
_symmetry_space_group_name_H-M 'P -3 m 1'
_symmetry_Int_Tables_number 164
_symmetry_space_group_name_Hall '-P 3 2"'
loop_
_atom_site_label
_atom_site_type_symbol
_atom_site_fract_x
_atom_site_fract_y
_atom_site_fract_z
Cd1 Cd 0.3333 0.6667 0.2903
Co1 Co 0.0000 0.0000 0.0000
Co2 Co 0.0000 0.0000 0.1930
Co3 Co 0.0000 0.5000 0.0000
Co4 Co 0.0040 0.5020 0.1947
Co5 Co 0.1665 0.3330 0.1289
Co6 Co 0.1670 0.3340 0.7434
Co7 Co 0.1668 0.3336 0.9353
Co8 Co 0.3333 0.6667 0.0643
Co9 Co 0.3333 0.6667 0.8692
```

Formation enthalpy at 0 K = 0.16 eV per atom
Polymorph energy (0 for the lowest one) = 5 meV/atom

=====

Entry from OQMD via LeMat-Bulk: crystalline CdCo17 at its relaxed geometry (PBE).

```
data_CdCo17
_chemical_formula_sum 'Cd2 Co34'
_cell_length_a 4.276
_cell_length_b 4.943
_cell_length_c 31.349
_cell_angle_alpha 90.00
_cell_angle_beta 90.02
_cell_angle_gamma 90.00
_symmetry_space_group_name_H-M 'P 1 21/m 1'
_symmetry_Int_Tables_number 11
loop_
_symmetry_equiv_pos_as_xyz
'x,y,z'
'-x,-y,-z'
'-x,y+1/2,-z'
'x,-y+1/2,z'
loop_
_atom_site_label
_atom_site_type_symbol
_atom_site_fract_x
_atom_site_fract_y
_atom_site_fract_z
Cd1 Cd 0.168 0.250 0.290
Co1 Co 0.000 0.000 0.000
Co2 Co 0.001 0.004 0.194
Co3 Co 0.162 0.250 0.870
Co4 Co 0.165 0.750 0.255
Co5 Co 0.166 0.250 0.064
Co6 Co 0.167 0.750 0.065
Co7 Co 0.172 0.750 0.871
Co8 Co 0.333 0.000 0.935
Co9 Co 0.333 0.003 0.744
Co10 Co 0.334 0.002 0.129
Co11 Co 0.498 0.250 0.194
Co12 Co 0.499 0.750 0.193
Co13 Co 0.500 0.250 0.000
```

Formation enthalpy at 0 K = 0.16 eV per atom
Polymorph energy (0 for the lowest one) = 0 meV/atom

=====

Ρ for every record listed, in sequence, given in g/cm³: 5.1; 3.6; 7.1; 6.8; 6.5; 5.7; 5.9; 5.7; 5.7; 5.0; 5.6; 5.6.